CsCr2CuF8: relaxed, PBE+U.

a = 4.9426 Å, b = 6.2816 Å, c = 6.6180 Å
α = 103.35°, β = 94.33°, γ = 109.15°
Space group P-1 (No. 2)
One atom of each set of equivalent atoms:
1 Cs 0.0000 0.0000 0.0000 (multiplicity 1)
2 Cr 0.4573 0.7367 0.4915 (multiplicity 2)
3 Cu 0.0000 0.5000 0.0000 (multiplicity 1)
4 F 0.2357 0.3992 0.4712 (multiplicity 2)
5 F 0.2390 0.9513 0.4686 (multiplicity 2)
6 F 0.3643 0.6357 0.1767 (multiplicity 2)
7 F 0.4257 0.7978 0.7775 (multiplicity 2)

Values from the calculation:
DFT total energy = -63.4 eV/cell
ρ = 4.0 g/cm³